1.
The following is a PBE calculation of a relaxed structure of ZrScTaNb2, from the Alexandria database.

Summary:
Formation enthalpy at 0 K (meV per atom): 1578.5
D(E_F) (states/eV/atom): 1.547
Magnetic moment (μB per formula unit): 0.00

a b c (Å): 4.6763 4.6763 4.9573
angles (deg): 90.00 90.00 90.00
Last column: nearest neighbours and their distance in Å.
Fractional coordinates of all 5 atoms:
Zr 0.0000 0.0000 0.0000  2 Sc 2.48
Sc 0.0000 0.0000 0.5000  4 Nb 2.34, 2 Zr 2.48
Ta 0.5000 0.5000 0.0000  4 Zr 3.31, 8 Nb 3.41
Nb 0.0000 0.5000 0.5000  2 Sc 2.34
Nb 0.5000 0.0000 0.5000  2 Sc 2.34

2.
The following is a PBE calculation of a relaxed structure of Co3GeP, from the Alexandria database.

Summary:
Polymorph energy (0 for the lowest one) (meV per atom): 0
Formation enthalpy at 0 K (meV per atom): 266.8
D(E_F) (states/eV/atom): 1.332
Magnetic moment (μB per formula unit): 3.08

a b c (Å): 4.1491 4.1491 4.1491
angles (deg): 90.00 90.00 90.00
Last column: nearest neighbours and their distance in Å.
Fractional coordinates of all 5 atoms:
Co 0.0000 0.0000 0.5000  2 P 2.07
Co 0.0000 0.5000 0.0000  2 P 2.07
Co 0.5000 0.0000 0.0000  2 P 2.07
Ge 0.5000 0.5000 0.5000  12 Co 2.93
P 0.0000 0.0000 0.0000  6 Co 2.07

3.
The following is a PBE calculation of a relaxed structure of Na2SrAuO, from the Alexandria database.

Summary:
D(E_F) (states/eV/atom): 0.408
ΔE_f (raw) (eV per atom): -1.082
Magnetic moment (μB per formula unit): 0.00

a b c (Å): 4.7437 4.7437 4.9500
angles (deg): 90.00 90.00 90.00
Last column: nearest neighbours and their distance in Å.
Fractional coordinates of all 5 atoms:
Na 0.0000 0.5000 0.0000  2 O 2.37
Na 0.5000 0.0000 0.0000  2 O 2.37
Sr 0.0000 0.0000 0.5000  2 O 2.47
Au 0.5000 0.5000 0.5000  4 Sr 3.35, 8 Na 3.43
O 0.0000 0.0000 0.0000  4 Na 2.37, 2 Sr 2.47

4.
The following is a PBE calculation of a relaxed structure of TaAl2As, from the Alexandria database.

Summary:
Formation enthalpy at 0 K (meV per atom): -133.2
D(E_F) (states/eV/atom): 0.554
Magnetic moment (μB per formula unit): 0.00

a b c (Å): 3.4573 3.4912 5.5561
angles (deg): 90.00 90.00 90.00
Last column: nearest neighbours and their distance in Å.
Fractional coordinates of all 4 atoms:
Ta 0.0000 0.0000 0.0000  6 Al 2.77-2.83, 4 As 2.80
Al 0.0000 0.0000 0.4988  2 Ta 2.77-2.78, 4 Al 2.81, 4 As 2.85
Al 0.5000 0.5000 0.2527  2 As 2.75-2.81, 4 Al 2.81, 4 Ta 2.83
As 0.5000 0.5000 0.7586  6 Al 2.75-2.85, 4 Ta 2.80

> Which value of D(E_F) does entry 3 give?

0.408 states/eV/atom

> Which value of D(E_F) does entry 3 give?

0.408 states/eV/atom

Please write out number 2 again, unchanged.
The following is a PBE calculation of a relaxed structure of Co3GeP, from the Alexandria database.

Summary:
Polymorph energy (0 for the lowest one) (meV per atom): 0
Formation enthalpy at 0 K (meV per atom): 266.8
D(E_F) (states/eV/atom): 1.332
Magnetic moment (μB per formula unit): 3.08

a b c (Å): 4.1491 4.1491 4.1491
angles (deg): 90.00 90.00 90.00
Last column: nearest neighbours and their distance in Å.
Fractional coordinates of all 5 atoms:
Co 0.0000 0.0000 0.5000  2 P 2.07
Co 0.0000 0.5000 0.0000  2 P 2.07
Co 0.5000 0.0000 0.0000  2 P 2.07
Ge 0.5000 0.5000 0.5000  12 Co 2.93
P 0.0000 0.0000 0.0000  6 Co 2.07

> Which of these has the highest magnetic moment?

Co3GeP